LaO2F3: optimized geometry, PBE.

Results
raw formation energy	-2641	meV/atom
calculated volume	265	Å³/cell
E	-6.05	eV/atom

The structure in extended XYZ format:
```
12
Lattice="6.302 0.000 0.000 2.243 6.016 0.000 0.638 2.901 6.986" Properties=species:S:1:pos:R:3 pbc="T T T"
La 1.558 1.108 0.094
La 7.624 7.810 6.892
O 2.631 2.857 2.574
O 3.820 3.145 2.714
O 5.362 5.773 4.272
O 6.551 6.061 4.412
F 2.387 5.678 1.293
F 2.832 6.078 6.216
F 3.583 2.696 5.694
F 5.599 6.221 1.292
F 6.351 2.839 0.770
F 6.796 3.239 5.693
```